An optimized crystal structure of Th2ZnIn3. Source: Alexandria via LeMat-Bulk, functional GGA-PBE.

Cell: 3.7212 4.8786 8.5432 Å, 90.00 90.00 90.00°
Last column: nearest neighbours and their distance in Å.
Fractional positions:
Th: 0.0000 0.5000 0.0104  2 Zn 3.31, 10 In 3.38-3.56
Th: 0.0000 0.0000 0.4919  8 In 3.28-3.47, 4 Zn 3.36
Zn: 0.5000 0.5000 0.3306  3 In 2.77-2.78
In: 0.5000 0.0000 0.8351  3 In 2.88-2.92
In: 0.5000 0.0000 0.1764  2 Zn 2.77, 1 In 2.92
In: 0.5000 0.5000 0.6556  1 Zn 2.78, 2 In 2.88

## Properties
DOS(E_F) ... 3.16 states/eV per cell
Energy relative to the lowest polymorph listed for this composition ... 10 meV/atom
Crystal system ... orthorhombic
ΔE_f ... -0.284 eV per atom
SG ... Pmm2, No. 25
VASP energy ... -4.339 eV/atom